(1)
# SrCrO4, optimized geometry, DFT GGA-PBEsol
# * E_tot: -7.906 eV per atom
# * magnetic moment: 0.000 μB/atom
data_SrCrO4
_symmetry_space_group_name_H-M 'P 1 21/c 1'
_symmetry_Int_Tables_number 14
_symmetry_space_group_name_Hall '-P 2ybc'
_cell_length_a 6.686
_cell_length_b 7.369
_cell_length_c 8.549
_cell_angle_alpha 90.00
_cell_angle_beta 126.43
_cell_angle_gamma 90.00
loop_
_atom_site_label
_atom_site_type_symbol
_atom_site_fract_x
_atom_site_fract_y
_atom_site_fract_z
Sr1 Sr 0.172 0.157 0.273
Cr1 Cr 0.311 0.665 0.197
O1 O 0.118 0.661 0.619
O2 O 0.198 0.503 0.257
O3 O 0.332 0.600 0.024
O4 O 0.405 0.220 0.120

***

(2)
# SrCrO3, optimized geometry, DFT GGA-PBEsol
# * E_tot: -8.022 eV per atom
# * magnetic moment: 0.081 μB/atom
data_SrCrO3
_symmetry_space_group_name_H-M 'P 63/m m c'
_symmetry_Int_Tables_number 194
_symmetry_space_group_name_Hall '-P 6c 2c'
_cell_length_a 5.4033
_cell_length_b 5.4033
_cell_length_c 13.2552
_cell_angle_alpha 90.00
_cell_angle_beta 90.00
_cell_angle_gamma 120.00
loop_
_atom_site_label
_atom_site_type_symbol
_atom_site_fract_x
_atom_site_fract_y
_atom_site_fract_z
Sr1 Sr 0.0000 0.0000 0.2500
Sr2 Sr 0.3333 0.6667 0.0934
Cr1 Cr 0.0000 0.0000 0.0000
Cr2 Cr 0.3333 0.6667 0.6558
O1 O 0.0214 0.5107 0.7500
O2 O 0.1663 0.3327 0.5811